Compound: Ce3FeGe
Source: Alexandria
Functional: PBE
Structure: optimized geometry

Values from the calculation:
Relative energy among the computed polymorphs, eV/atom: 0.000
Energy of formation from the pure elements, eV/atom: -0.33
Calculated density, g/cm3: 8.0
D(E_F), states/eV/atom: 1.769

```
20
Lattice="-0.882 -3.037 6.831 1.606 -6.409 -2.642 7.788 2.984 2.332" Properties=species:S:1:pos:R:3 pbc="T T T"
Ce 2.138 -1.022 2.501
Ce 6.375 -5.440 4.020
Ce 1.549 -4.171 5.173
Ce 6.964 -2.291 1.348
Ce 0.989 -8.185 4.639
Ce 7.523 1.722 1.881
Ce 4.022 -4.387 2.572
Ce 4.490 -2.075 3.949
Ce 1.094 -6.024 1.648
Ce 7.419 -0.438 4.873
Ce 4.761 -3.644 -0.968
Ce 3.752 -2.818 7.489
Fe 8.595 -4.198 2.067
Fe -0.082 -2.264 4.454
Fe 4.455 -4.526 5.535
Fe 4.057 -1.936 0.986
Ge 3.551 -7.479 2.908
Ge 4.962 1.017 3.613
Ge 1.966 -3.352 0.391
Ge 6.547 -3.110 6.130
```

---

Compound: TlMo2Pt
Source: Alexandria
Functional: PBE
Structure: optimized geometry

Values from the calculation:
Relative energy among the computed polymorphs, eV/atom: 0.169
Energy of formation from the pure elements, eV/atom: 0.43
Calculated density, g/cm3: 13.3
D(E_F), states/eV/atom: 0.963

```
4
Lattice="3.459 0.000 0.000 0.000 3.459 0.000 0.000 0.000 6.167" Properties=species:S:1:pos:R:3 pbc="T T T"
Mo 0.000 0.000 0.332
Mo 0.000 0.000 2.752
Pt 1.729 1.729 1.542
Tl 1.729 1.729 4.625
```

---

Compound: CrInAs2Se
Source: Alexandria
Functional: PBE
Structure: optimized geometry

Values from the calculation:
Relative energy among the computed polymorphs, eV/atom: 0.000
Formation energy from raw total energies, eV/atom: 0.18
Calculated density, g/cm3: 5.8
D(E_F), states/eV/atom: 0.546

```
5
Lattice="-2.262 3.494 -1.829 -3.939 -1.898 1.245 0.232 2.642 4.761" Properties=species:S:1:pos:R:3 pbc="T T T"
Cr 0.000 0.000 0.000
As -1.969 -0.949 0.623
As -1.131 1.747 -0.914
Se 0.116 1.321 2.380
In -2.984 2.119 2.089
```

---

Compound: Ac2GaS
Source: Alexandria
Functional: PBE
Structure: optimized geometry

Values from the calculation:
Relative energy among the computed polymorphs, eV/atom: 0.000
Formation energy from raw total energies, eV/atom: -1.16
Calculated density, g/cm3: 7.2
D(E_F), states/eV/atom: 0.533

```
4
Lattice="4.349 0.000 0.000 2.175 3.767 0.000 2.175 1.256 7.806" Properties=species:S:1:pos:R:3 pbc="T T T"
Ac 2.175 1.256 2.074
Ac 6.524 3.767 5.732
S 4.349 2.511 3.903
Ga 0.000 0.000 0.000
```

---

Compound: ZrScPd3
Source: Alexandria
Functional: PBE
Structure: optimized geometry

Values from the calculation:
Relative energy among the computed polymorphs, eV/atom: 0.917
Energy of formation from the pure elements, eV/atom: 0.17
Calculated density, g/cm3: 7.2
D(E_F), states/eV/atom: 1.170

```
5
Lattice="4.718 0.000 0.000 0.000 4.718 0.000 0.000 0.000 4.718" Properties=species:S:1:pos:R:3 pbc="T T T"
Sc 0.000 0.000 0.000
Zr 2.359 2.359 2.359
Pd 0.000 2.359 0.000
Pd 0.000 0.000 2.359
Pd 2.359 0.000 0.000
```

---

Compound: CsMg2TlPd
Source: Alexandria
Functional: PBE
Structure: optimized geometry

Values from the calculation:
Energy of formation from the pure elements, eV/atom: -0.14
Calculated density, g/cm3: 5.3
D(E_F), states/eV/atom: 0.465

```
5
Lattice="5.321 0.000 0.000 0.000 5.321 0.000 0.000 0.000 5.440" Properties=species:S:1:pos:R:3 pbc="T T T"
Cs 2.661 2.661 2.720
Tl 0.000 0.000 2.720
Mg 0.000 2.661 0.000
Mg 2.661 0.000 0.000
Pd 0.000 0.000 0.000
```

---

Compound: YHoZn
Source: Alexandria
Functional: PBE
Structure: optimized geometry

Values from the calculation:
Relative energy among the computed polymorphs, eV/atom: 0.166
Energy of formation from the pure elements, eV/atom: -0.05
Calculated density, g/cm3: 6.8
D(E_F), states/eV/atom: 1.053

```
3
Lattice="-2.895 -2.221 0.054 0.234 -0.427 -4.959 2.502 -3.191 2.897" Properties=species:S:1:pos:R:3 pbc="T T T"
Y -0.778 -2.704 -2.307
Zn 0.830 -2.972 0.295
Ho -0.211 -0.162 0.004
```

---

Compound: Cd4AuCl
Source: Alexandria
Functional: PBE
Structure: optimized geometry

Values from the calculation:
Formation energy from raw total energies, eV/atom: 0.05
Calculated density, g/cm3: 8.1
D(E_F), states/eV/atom: 0.746

```
6
Lattice="0.000 4.122 4.122 4.122 0.000 4.122 4.122 4.122 0.000" Properties=species:S:1:pos:R:3 pbc="T T T"
Cd 3.088 5.156 5.156
Cd 5.156 5.156 3.088
Cd 5.156 3.088 5.156
Cd 3.088 3.088 3.088
Au 0.000 0.000 0.000
Cl 6.183 6.183 6.183
```